# 1
## Ba2DyMg2Bi4 (PBE-GGA)

Data for crystalline Ba2DyMg2Bi4 at its relaxed geometry.

Output
E_form (meV per atom): -717

abc: 4.887 7.920 8.887
angles: 108.28 105.96 90.00
Fractional positions:
Mg: 0.669 0.989 0.337
Bi: 0.501 0.268 0.002
Mg: 0.331 0.011 0.663
Dy: 0.000 0.000 0.000
Bi: 0.798 0.795 0.596
Bi: 0.202 0.205 0.404
Ba: 0.135 0.590 0.271
Ba: 0.865 0.410 0.729
Bi: 0.499 0.732 0.998

# 2
## K3Be2Te4 (PBE-GGA)

Data for crystalline K3Be2Te4 at its relaxed geometry.

Output
E_form (uncorrected) (eV/atom): -0.657

abc: 6.780 10.207 10.207
angles: 67.47 87.84 87.84
Fractional positions:
Be: 0.539 0.849 0.579
Te: 0.629 0.379 0.307
K: 0.250 0.638 0.362
K: 0.750 0.362 0.638
Te: 0.129 0.307 0.379
Be: 0.039 0.579 0.849
Te: 0.871 0.693 0.621
Te: 0.033 0.674 0.036
K: 0.456 0.292 0.034
Te: 0.967 0.326 0.964
K: 0.544 0.708 0.966
Be: 0.461 0.151 0.421
Te: 0.371 0.621 0.693
K: 0.044 0.966 0.708
Te: 0.467 0.964 0.326
Be: 0.961 0.421 0.151
K: 0.956 0.034 0.292
Te: 0.533 0.036 0.674

# 3
## PaSbIr2 (PBE-GGA)

Data for crystalline PaSbIr2 at its relaxed geometry.

Output
E_form (uncorrected) (eV/atom): -0.480

abc: 4.415 4.415 5.431
angles: 66.02 66.02 60.00
Fractional positions:
Ir: 0.777 0.777 0.668
Pa: 0.000 0.000 0.000
Sb: 0.500 0.500 0.500
Ir: 0.223 0.223 0.332

Number 1: mass density 7.020 g/cm3, total DFT energy (no corrections) -3.735 eV/atom. Number 2: mass density 3.291 g/cm3, total DFT energy (no corrections) -3.248 eV/atom. Number 3: mass density 15.125 g/cm3, total DFT energy (no corrections) -8.315 eV/atom.